1.
The following is a PBE-GGA calculation of a geometry-optimized Si2TcPb structure, from Alexandria.

Values from the calculation:
The total magnetic moment is 0.00 μB per cell. As for the formation energy without anion corrections: 50 kJ per mole of atoms.

a = 5.1626 Å, b = 5.1626 Å, c = 5.1626 Å
α = 142.24°, β = 121.07°, γ = 72.14°
Last column: nearest neighbours and their distance in Å.
Sites, in units of the cell vectors:
1 Pb 0.2453 0.7453 0.5000  8 Si 2.86-3.15, 4 Tc 2.94-3.09
2 Si 0.9677 0.9677 0.0000  2 Si 2.45
3 Si 0.7522 0.2522 0.5000  2 Si 2.45, 2 Tc 2.47
4 Tc 0.5347 0.5347 0.0000  2 Si 2.47

=====

2.
The following is a PBE-GGA calculation of a geometry-optimized NdDy2Zn2In2 structure, from Alexandria.

Values from the calculation:
As for the energy relative to the elements: -290 meV/atom. The total magnetic moment is 0.00 μB per cell.

a = 4.7359 Å, b = 4.7359 Å, c = 9.5990 Å
α = 75.72°, β = 75.72°, γ = 60.00°
Last column: nearest neighbours and their distance in Å.
Sites, in units of the cell vectors:
1 Nd 0.0000 0.0000 0.0000  6 Zn 3.37, 6 In 3.40, 2 Dy 3.55
2 Dy 0.1287 0.1287 0.6138  3 In 3.14, 3 Zn 3.16, 3 Dy 3.44
3 Dy 0.8713 0.8713 0.3862  3 In 3.14, 3 Zn 3.16, 3 Dy 3.44
4 Zn 0.5950 0.5950 0.2149  3 In 2.73
5 Zn 0.4050 0.4050 0.7851  3 In 2.73
6 In 0.7398 0.7398 0.7807  3 Zn 2.73
7 In 0.2602 0.2602 0.2193  3 Zn 2.73

=====

3.
The following is a PBE-GGA calculation of a geometry-optimized Pr3Sb2S structure, from Alexandria.

Values from the calculation:
The energy relative to the lowest polymorph listed for this composition comes out at 7 meV per atom. The total magnetic moment is 0.00 μB per cell. As for the formation energy without anion corrections: -138 kJ per mole of atoms.

a = 4.4093 Å, b = 6.2918 Å, c = 7.6482 Å
α = 114.29°, β = 106.75°, γ = 90.00°
Last column: nearest neighbours and their distance in Å.
Sites, in units of the cell vectors:
1 Pr 0.3449 0.3449 0.6898  2 S 3.01, 4 Sb 3.15-3.19
2 Pr 0.0000 0.0000 0.0000  2 S 3.15, 4 Sb 3.16
3 Pr 0.6551 0.6551 0.3102  2 S 3.01, 4 Sb 3.15-3.19
4 Sb 0.6710 0.1710 0.3419  6 Pr 3.15-3.19
5 Sb 0.3290 0.8290 0.6581  6 Pr 3.15-3.19
6 S 0.0000 0.5000 0.0000  6 Pr 3.01-3.15

=====

4.
The following is a PBE-GGA calculation of a geometry-optimized LiEuHoPb structure, from Alexandria.

Values from the calculation:
As for the energy relative to the elements: -286 meV/atom. The total magnetic moment is 7.46 μB per cell.

a = 5.4180 Å, b = 5.4180 Å, c = 5.4180 Å
α = 60.00°, β = 60.00°, γ = 60.00°
Last column: nearest neighbours and their distance in Å.
Sites, in units of the cell vectors:
1 Pb 0.2500 0.2500 0.2500  4 Ho 3.32, 4 Eu 3.32
2 Eu 0.5000 0.5000 0.5000  4 Li 3.32, 4 Pb 3.32
3 Ho 0.0000 0.0000 0.0000  4 Pb 3.32, 4 Li 3.32
4 Li 0.7500 0.7500 0.7500  4 Eu 3.32, 4 Ho 3.32

=====

5.
The following is a PBE-GGA calculation of a geometry-optimized Er3H2Pb structure, from Alexandria.

Values from the calculation:
For the total energy, the calculation gives -4.428 eV/atom. The total magnetic moment is 0.00 μB per cell.

a = 3.5559 Å, b = 6.2509 Å, c = 11.8635 Å
α = 106.98°, β = 98.62°, γ = 90.00°
Last column: nearest neighbours and their distance in Å.
Sites, in units of the cell vectors:
1 Er 0.2351 0.2562 0.4702  3 H 2.16-2.18
2 Er 0.0317 0.7892 0.0634  2 H 2.19-2.23
3 Er 0.3956 0.6578 0.7913  3 H 2.22-2.34
4 Er 0.7649 0.7438 0.5298  3 H 2.16-2.18
5 Er 0.6044 0.3422 0.2087  3 H 2.22-2.34
6 Er 0.9683 0.2108 0.9366  2 H 2.19-2.23
7 H 0.2921 0.5972 0.5842  4 Er 2.16-2.34
8 H 0.7079 0.4028 0.4158  4 Er 2.16-2.34
9 H 0.9430 0.8384 0.8861  4 Er 2.19-2.23
10 H 0.0570 0.1616 0.1139  4 Er 2.19-2.23
11 Pb 0.3516 0.1266 0.7032  7 Er 3.07-3.38, 1 H 3.19
12 Pb 0.6484 0.8734 0.2968  7 Er 3.07-3.38, 1 H 3.19

=====

6.
The following is a PBE-GGA calculation of a geometry-optimized PrTmCd14 structure, from Alexandria.

Values from the calculation:
As for the energy relative to the elements: -135 meV/atom. The total magnetic moment is 0.00 μB per cell.

a = 6.6436 Å, b = 6.6436 Å, c = 8.5053 Å
α = 90.00°, β = 90.00°, γ = 90.00°
Last column: nearest neighbours and their distance in Å.
Sites, in units of the cell vectors:
1 Pr 0.8750 0.8750 0.5000  12 Cd 3.26-3.32
2 Tm 0.3750 0.3750 0.5000  12 Cd 3.20-3.32
3 Cd 0.8750 0.8750 0.0000  12 Cd 3.14-3.32
4 Cd 0.3750 0.3750 0.0000  12 Cd 3.08-3.32
5 Cd 0.8750 0.3750 0.5000  8 Cd 3.23, 2 Pr 3.32, 2 Tm 3.32
6 Cd 0.8750 0.3750 0.0000  12 Cd 3.11-3.32
7 Cd 0.3750 0.8750 0.5000  8 Cd 3.23, 2 Tm 3.32, 2 Pr 3.32
8 Cd 0.3750 0.8750 0.0000  12 Cd 3.11-3.32
9 Cd 0.6205 0.1295 0.2400  10 Cd 3.08-3.38, 1 Tm 3.20, 1 Pr 3.26
10 Cd 0.6205 0.1295 0.7600  10 Cd 3.08-3.38, 1 Tm 3.20, 1 Pr 3.26
11 Cd 0.1295 0.6205 0.2400  10 Cd 3.08-3.38, 1 Tm 3.20, 1 Pr 3.26
12 Cd 0.1295 0.6205 0.7600  10 Cd 3.08-3.38, 1 Tm 3.20, 1 Pr 3.26
13 Cd 0.6205 0.6205 0.2400  10 Cd 3.08-3.38, 1 Tm 3.20, 1 Pr 3.26
14 Cd 0.6205 0.6205 0.7600  10 Cd 3.08-3.38, 1 Tm 3.20, 1 Pr 3.26
15 Cd 0.1295 0.1295 0.2400  10 Cd 3.08-3.38, 1 Tm 3.20, 1 Pr 3.26
16 Cd 0.1295 0.1295 0.7600  10 Cd 3.08-3.38, 1 Tm 3.20, 1 Pr 3.26

=====

7.
The following is a PBE-GGA calculation of a geometry-optimized BaTe2As structure, from Alexandria.

Values from the calculation:
The total magnetic moment is 0.00 μB per cell. As for the formation energy without anion corrections: -58 kJ per mole of atoms.

a = 6.1836 Å, b = 6.1836 Å, c = 6.1836 Å
α = 139.02°, β = 122.60°, γ = 72.92°
Last column: nearest neighbours and their distance in Å.
Sites, in units of the cell vectors:
1 As 0.5490 0.5490 0.0000  2 Te 2.80
2 Te 0.9658 0.9658 0.0000  2 Te 3.21
3 Te 0.7275 0.2275 0.5000  2 As 2.80
4 Ba 0.2577 0.7577 0.5000  4 As 3.62, 8 Te 3.62-3.69

=====

Number 1: mass density 8.474 g cm⁻³. Number 2: mass density 7.709 g cm⁻³. Number 3: mass density 6.320 g cm⁻³. Number 4: mass density 7.841 g cm⁻³. Number 5: mass density 9.480 g cm⁻³. Number 6: mass density 8.332 g cm⁻³. Number 7: mass density 6.071 g cm⁻³.